Entry 1:
Here is an optimized crystal structure of BeFeAs2Br from Alexandria. Energies are from GGA-PBEsol.

E_form (uncorrected)	0.7174	eV/atom

Lattice parameters (Å, degrees): 4.3810 4.3810 5.1590 90.00 90.00 90.00
Fractional positions:
Be 0.0000 0.0000 0.0000
Fe 0.5000 0.5000 0.5000
As 0.0000 0.5000 0.5000
As 0.5000 0.0000 0.5000
Br 0.5000 0.5000 0.0000



Entry 2:
Here is an optimized crystal structure of BeAs2HBr from Alexandria. Energies are from GGA-PBEsol.

total DFT energy (no corrections)	-15.11	eV per cell

Lattice parameters (Å, degrees): 4.3712 4.3712 5.0435 90.00 90.00 90.00
Fractional positions:
Be 0.0000 0.0000 0.0000
As 0.0000 0.5000 0.0000
As 0.5000 0.0000 0.0000
H 0.5000 0.5000 0.5000
Br 0.0000 0.0000 0.5000



Entry 3:
Here is an optimized crystal structure of Li4Be3As3BrO12 from Alexandria. Energies are from GGA-PBEsol.

E_form (uncorrected)	-1.9438	eV/atom

Lattice parameters (Å, degrees): 8.3062 8.3062 8.3062 90.00 90.00 90.00
Fractional positions:
Li 0.1773 0.1773 0.1773
Li 0.1773 0.8227 0.8227
Li 0.3227 0.3227 0.6773
Li 0.3227 0.6773 0.3227
Li 0.6773 0.3227 0.3227
Li 0.6773 0.6773 0.6773
Li 0.8227 0.1773 0.8227
Li 0.8227 0.8227 0.1773
Be 0.0000 0.2500 0.5000
Be 0.0000 0.7500 0.5000
Be 0.2500 0.5000 0.0000
Be 0.5000 0.0000 0.2500
Be 0.5000 0.0000 0.7500
Be 0.7500 0.5000 0.0000
As 0.0000 0.5000 0.2500
As 0.0000 0.5000 0.7500
As 0.2500 0.0000 0.5000
As 0.5000 0.2500 0.0000
As 0.5000 0.7500 0.0000
As 0.7500 0.0000 0.5000
Br 0.0000 0.0000 0.0000
Br 0.5000 0.5000 0.5000
O 0.0935 0.3568 0.6359
O 0.0935 0.6432 0.3641
O 0.1359 0.1432 0.4065
O 0.1359 0.8568 0.5935
O 0.1432 0.4065 0.1359
O 0.1432 0.5935 0.8641
O 0.3568 0.3641 0.9065
O 0.3568 0.6359 0.0935
O 0.3641 0.0935 0.6432
O 0.3641 0.9065 0.3568
O 0.4065 0.1359 0.1432
O 0.4065 0.8641 0.8568
O 0.5935 0.1359 0.8568
O 0.5935 0.8641 0.1432
O 0.6359 0.0935 0.3568
O 0.6359 0.9065 0.6432
O 0.6432 0.3641 0.0935
O 0.6432 0.6359 0.9065
O 0.8568 0.4065 0.8641
O 0.8568 0.5935 0.1359
O 0.8641 0.1432 0.5935
O 0.8641 0.8568 0.4065
O 0.9065 0.3568 0.3641
O 0.9065 0.6432 0.6359